VASP calculation (SCAN) on a PBEsol-optimized structure of Ti2SiTcC.

Cell: 4.5788 4.5788 4.4528 Å, 90.00 90.00 90.00°
Fractional coordinates of all 5 atoms:
1 Ti 0.0000 0.5000 0.0000
2 Ti 0.5000 0.0000 0.0000
3 Si 0.0000 0.0000 0.5000
4 Tc 0.0000 0.0000 0.0000
5 C 0.5000 0.5000 0.5000

Calculated values
SG: P4/mmm, No. 123
Formation energy without anion corrections in eV per atom: 1.557
M_tot in μB per atom: 0.000
Density of states at the Fermi level in states/eV per atom: 1.01



VASP calculation (SCAN) on a PBEsol-optimized structure of Si2TeC.

Cell: 4.4723 4.4723 4.4723 Å, 60.00 60.00 60.00°
Fractional coordinates of all 4 atoms:
1 Si 0.2500 0.2500 0.2500
2 Si 0.7500 0.7500 0.7500
3 Te 0.0000 0.0000 0.0000
4 C 0.5000 0.5000 0.5000

Calculated values
SG: Fm-3m, No. 225
Formation energy without anion corrections in eV per atom: 1.888
M_tot in μB per atom: 0.000
Density of states at the Fermi level in states/eV per atom: 0.49



VASP calculation (SCAN) on a PBEsol-optimized structure of SiTe2C2.

Cell: 7.1084 7.1084 3.2751 Å, 90.00 90.00 90.00°
Fractional coordinates of all 10 atoms:
1 Si 0.0000 0.0000 0.0000
2 Si 0.5000 0.5000 0.0000
3 Te 0.1623 0.3377 0.5000
4 Te 0.3377 0.8377 0.5000
5 Te 0.6623 0.1623 0.5000
6 Te 0.8377 0.6623 0.5000
7 C 0.2013 0.7013 0.0000
8 C 0.2987 0.2013 0.0000
9 C 0.7013 0.7987 0.0000
10 C 0.7987 0.2987 0.0000

Calculated values
SG: P4/mbm, No. 127
Formation energy without anion corrections in eV per atom: 1.774
M_tot in μB per atom: 0.000
Density of states at the Fermi level in states/eV per atom: 0.45



VASP calculation (SCAN) on a PBEsol-optimized structure of Ti3SiC2.

Cell: 3.0452 3.0452 17.5850 Å, 90.00 90.00 120.00°
Fractional coordinates of all 12 atoms:
1 Ti 0.0000 0.0000 0.0000
2 Ti 0.0000 0.0000 0.5000
3 Ti 0.3333 0.6667 0.1350
4 Ti 0.3333 0.6667 0.3650
5 Ti 0.6667 0.3333 0.6350
6 Ti 0.6667 0.3333 0.8650
7 Si 0.0000 0.0000 0.2500
8 Si 0.0000 0.0000 0.7500
9 C 0.3333 0.6667 0.5722
10 C 0.3333 0.6667 0.9278
11 C 0.6667 0.3333 0.0722
12 C 0.6667 0.3333 0.4278

Calculated values
SG: P6_3/mmc, No. 194
Formation energy without anion corrections in eV per atom: -0.913
M_tot in μB per atom: 0.000
Density of states at the Fermi level in states/eV per atom: 0.32